Below is Rb2Tb after structural relaxation, with properties calculated at the PBE level.

abc: 7.7045 7.7045 7.7045
angles: 60.00 60.00 60.00
Atoms (fractional coordinates):
Rb: 0.6250 0.6250 0.6250
Rb: 0.1250 0.6250 0.6250
Rb: 0.6250 0.1250 0.6250
Rb: 0.6250 0.6250 0.1250
Tb: 0.2500 0.2500 0.2500
Tb: 0.0000 0.0000 0.0000

space-group type: No. 227
electronic total energy: -1.39 eV/atom